A relaxed LiMgMoO4 crystal. Source: Alexandria, functional PBE+U.

Summary:
Theoretical density (g/cm³): 3.497
E_tot (eV/atom): -6.23
SG: Cmcm (63)

Unit cell a=5.374 b=5.374 c=6.697 alpha=90.00 beta=90.00 gamma=110.13
Element x y z (fractional)
Li: 0.000 0.000 0.000
Li: 0.000 0.000 0.500
Mg: 0.340 0.660 0.750
Mg: 0.660 0.340 0.250
Mo: 0.337 0.663 0.250
Mo: 0.663 0.337 0.750
O: 0.235 0.765 0.009
O: 0.235 0.765 0.491
O: 0.269 0.291 0.250
O: 0.291 0.269 0.750
O: 0.709 0.731 0.250
O: 0.731 0.709 0.750
O: 0.765 0.235 0.509
O: 0.765 0.235 0.991